A plane-wave DFT calculation with PBE-GGA was carried out for a geometry-optimized UCrCl6 structure.

Calculated values
The calculation puts the formation energy (no corrections) at -1.4163 eV per atom. The value obtained for the total DFT energy (no corrections) is -5.42 eV/atom. As for the energy above the lowest structure with this stoichiometry: 0.000 eV per formula unit.

Cell: 6.9849 6.9849 6.4666 Å, 98.78 98.78 124.83°
Site moments in Bohr magnetons follow the coordinates.
Fractional positions:
Cl  0.7437  0.7437  0.2546  -0.03
Cl  0.2563  0.2563  0.7454  -0.03
Cl  0.3645  0.0863  0.2270  -0.03
Cl  0.0863  0.3645  0.2270  -0.03
Cl  0.9137  0.6355  0.7730  -0.03
Cl  0.6355  0.9137  0.7730  -0.03
Cr  0.0000  0.0000  0.0000  3.53
U  0.5000  0.5000  0.5000  2.20